Record 1
Computed, not measured: an optimized crystal structure of Cs2Tl6Rh at the GGA-PBE level of DFT.

The structure belongs to space group C2/m (No. 12); the cell edges are 14.386, 8.294 and 5.957 Å and the angles 90.00°, 90.05° and 90.00°. The asymmetric unit holds Cs at (0.167, 0.000, 0.215), Tl at (0.073, 0.280, 0.708), Tl at (0.147, 0.500, 0.292) and Rh at (0.000, 0.500, 0.000).

As for the formation enthalpy at 0 K: -0.021 eV/atom.

=====

Record 2
Computed, not measured: an optimized crystal structure of Tc2HRu at the GGA-PBE level of DFT.

The structure belongs to space group Fm-3m (No. 225); the cell edges are 5.884, 5.884 and 5.884 Å and the angles 90.00°, 90.00° and 90.00°. The asymmetric unit holds Tc at (0.250, 0.250, 0.250), H at (0.000, 0.000, 0.000) and Ru at (0.000, 0.000, 0.500).

As for the energy above the most stable polymorph in this dataset: 799.9 meV/atom.

=====

Record 3
Computed, not measured: an optimized crystal structure of Be2TcAg at the GGA-PBE level of DFT.

The structure belongs to space group Pmm2 (No. 25); the cell edges are 2.602, 2.959 and 6.259 Å and the angles 90.00°, 90.00° and 90.00°. The asymmetric unit holds Be at (0.000, 0.000, 0.000), Be at (0.500, 0.500, 0.165), Tc at (0.500, 0.500, 0.771) and Ag at (0.000, 0.000, 0.419).

As for the formation enthalpy at 0 K: 0.161 eV/atom. As for the energy above the most stable polymorph in this dataset: 91.2 meV/atom.

=====

| no. | calculated density (g/cm3) | density of states at the Fermi level (states/eV per atom) | size of the total moment (μB per formula unit) |
| --- | --- | --- | --- |
| 1 | 7.5 | 0.4124 | 0.0 |
| 2 | 9.7 | 1.3905 | 0.0 |
| 3 | 7.7 | 0.3559 | 0.0 |